(1)
KTeIr3 | PBE-GGA | relaxed

Its density of states at the Fermi level is 8.38 states/eV/f.u. For the uncorrected formation energy, the calculation gives 2922 meV per atom. For the density, the calculation gives 11.21 g cm⁻³. For the raw total energy, the calculation gives -16.21 eV for the cell shown. For the offset from the most stable computed form, the calculation gives 1630 meV/atom.

a b c (Å): 4.793 4.793 4.793
angles (deg): 90.00 90.00 90.00
Space group Pm-3m (No. 221)
Unique sites:
K 0.000 0.000 0.000
Te 0.500 0.500 0.500
Ir 0.000 0.000 0.500

=====

(2)
FeReBr2 | PBE-GGA | relaxed

Its density of states at the Fermi level is 4.73 states/eV/f.u. For the uncorrected formation energy, the calculation gives 1033 meV per atom. For the density, the calculation gives 9.81 g cm⁻³. For the raw total energy, the calculation gives -60.37 eV for the cell shown. For the offset from the most stable computed form, the calculation gives 722 meV/atom.

a b c (Å): 3.1196 3.1196 24.2253
angles (deg): 90.00 90.00 120.00
Space group R-3m (No. 166, hexagonal axes)
Unique sites:
Fe 0.0000 0.0000 0.0000
Re 0.0000 0.0000 0.5000
Br 0.0000 0.0000 0.2551

=====

(3)
Ba2TlCuSn | PBE-GGA | relaxed

Its formation energy from the elements is -0.24 eV per atom. Its density of states at the Fermi level is 2.41 states/eV/f.u. For the density, the calculation gives 5.78 g cm⁻³. For the raw total energy, the calculation gives -15.51 eV for the cell shown.

a b c (Å): 6.248 6.248 4.863
angles (deg): 90.00 90.00 90.00
Space group P4/mmm (No. 123)
Unique sites:
Ba 0.000 0.500 0.000
Tl 0.000 0.000 0.500
Cu 0.500 0.500 0.000
Sn 0.500 0.500 0.500

=====

Look up the density of the third one. 5.78 g cm⁻³